DFT (GGA-PBE) results for a relaxed SrSnPdN2 crystal.

Unit cell a=4.3276 b=4.3276 c=5.3638 alpha=90.00 beta=90.00 gamma=90.00
Last column: nearest neighbours and their distance in Å.
Fractional coordinates of all 5 atoms:
Sr: 0.0000 0.0000 0.0000  2 Pd 2.68
Sn: 0.5000 0.5000 0.0000  4 Sr 3.06
Pd: 0.0000 0.0000 0.5000  4 N 2.16
N: 0.0000 0.5000 0.5000  2 Pd 2.16
N: 0.5000 0.0000 0.5000  2 Pd 2.16

Computed properties:
For the total magnetization, the calculation gives 1.6 μB/f.u. As for the symmetry: P4/mmm. For the total DFT energy (no corrections), the calculation gives -21.124 eV/cell.